# 1
The following is a PBE-GGA calculation of ZnMoAu2 after structural relaxation, from the Alexandria database.

Theoretical density ... 13.8 g/cm3
Formation enthalpy at 0 K ... 65 kJ/mol of formula units
Total magnetic moment ... 0.00 μB per cell

Unit cell a=2.714 b=4.561 c=5.421 alpha=90.00 beta=92.64 gamma=90.00
Space group Pm (No. 6)
Asymmetric unit:
Zn: 0.000 0.000 0.000
Mo: 0.359 0.500 0.735
Au: 0.819 0.000 0.526
Au: 0.844 0.500 0.223



# 2
The following is a PBE-GGA calculation of InPt2Cl after structural relaxation, from the Alexandria database.

Theoretical density ... 12.6 g/cm3
Formation energy (no corrections) ... 0.13 eV/atom
E above lowest polymorph ... 230 meV/atom
Total magnetic moment ... 0.00 μB per cell

Unit cell a=4.199 b=4.199 c=8.057 alpha=90.00 beta=90.00 gamma=90.00
Space group I4/mmm (No. 139)
Asymmetric unit:
In: 0.000 0.000 0.000
Pt: 0.000 0.500 0.250
Cl: 0.000 0.000 0.500



# 3
The following is a PBE-GGA calculation of Ac5Ce2Sn5 after structural relaxation, from the Alexandria database.

Theoretical density ... 7.0 g/cm3
Formation enthalpy at 0 K ... -544 kJ/mol of formula units
Total magnetic moment ... 5.97 μB per cell

Unit cell a=15.822 b=4.708 c=13.639 alpha=90.00 beta=110.77 gamma=90.00
Space group C2/m (No. 12)
Asymmetric unit:
Ac: 0.000 0.000 0.000
Ac: 0.162 0.000 0.540
Ac: 0.230 0.000 0.847
Ce: 0.051 0.500 0.292
Sn: 0.000 0.500 0.500
Sn: 0.111 0.500 0.918
Sn: 0.188 0.000 0.289



# 4
The following is a PBE-GGA calculation of CsRb2NaTl after structural relaxation, from the Alexandria database.

Theoretical density ... 2.6 g/cm3
Formation enthalpy at 0 K ... 14 kJ/mol of formula units
E above lowest polymorph ... 0 meV/atom
Total magnetic moment ... 0.00 μB per cell

Unit cell a=7.318 b=7.318 c=6.382 alpha=90.00 beta=90.00 gamma=90.00
Space group P4/mmm (No. 123)
Asymmetric unit:
Cs: 0.000 0.000 0.000
Rb: 0.000 0.500 0.500
Na: 0.500 0.500 0.000
Tl: 0.500 0.500 0.500



# 5
The following is a PBE-GGA calculation of Mn2VIrN after structural relaxation, from the Alexandria database.

Theoretical density ... 10.5 g/cm3
Formation energy (no corrections) ... -0.39 eV/atom
E above lowest polymorph ... 0 meV/atom
Total magnetic moment ... 4.00 μB per cell

Unit cell a=3.855 b=3.855 c=3.907 alpha=90.00 beta=90.00 gamma=90.00
Space group P4/mmm (No. 123)
Asymmetric unit:
Mn: 0.000 0.500 0.000
V: 0.000 0.000 0.500
Ir: 0.500 0.500 0.500
N: 0.000 0.000 0.000



# 6
The following is a PBE-GGA calculation of SrHg2Br6 after structural relaxation, from the Alexandria database.

Theoretical density ... 4.7 g/cm3
Formation energy (no corrections) ... -0.97 eV/atom
E above lowest polymorph ... 0 meV/atom
Total magnetic moment ... 0.00 μB per cell

Unit cell a=14.017 b=13.076 c=7.644 alpha=90.00 beta=99.58 gamma=90.00
Space group C2/c (No. 15)
Asymmetric unit:
Sr: 0.000 0.109 0.250
Hg: 0.182 0.419 0.319
Br: 0.116 0.076 0.626
Br: 0.126 0.266 0.105
Br: 0.135 0.405 0.640



# 7
The following is a PBE-GGA calculation of GeAsOF2 after structural relaxation, from the Alexandria database.

Theoretical density ... 4.4 g/cm3
Formation energy (no corrections) ... -0.84 eV/atom
E above lowest polymorph ... 0 meV/atom
Total magnetic moment ... 0.00 μB per cell

Unit cell a=4.361 b=4.361 c=3.985 alpha=90.00 beta=90.00 gamma=90.00
Space group P4/mmm (No. 123)
Asymmetric unit:
Ge: 0.000 0.000 0.000
As: 0.500 0.500 0.500
O: 0.500 0.500 0.000
F: 0.000 0.500 0.500



# 8
The following is a PBE-GGA calculation of Tc2HgCl after structural relaxation, from the Alexandria database.

Theoretical density ... 10.0 g/cm3
Formation energy (no corrections) ... 1.23 eV/atom
E above lowest polymorph ... 1171 meV/atom
Total magnetic moment ... 5.14 μB per cell

Unit cell a=3.937 b=3.937 c=9.241 alpha=90.00 beta=90.00 gamma=90.00
Space group I4/mmm (No. 139)
Asymmetric unit:
Tc: 0.000 0.500 0.250
Hg: 0.000 0.000 0.000
Cl: 0.000 0.000 0.500